No. 1
VASP calculation (PBE) on a relaxed NdDy2Ag2 crystal.

The space group is P2_1/m (No. 11) and the conventional cell measures 3.662, 5.341 and 13.672 Å, with angles of 90.00, 97.67 and 90.00 degrees. The distinct sites, in fractional coordinates, are Nd at (0.145, 0.250, 0.290), Dy at (0.048, 0.750, 0.095), Dy at (0.235, 0.750, 0.470), Ag at (0.357, 0.250, 0.715) and Ag at (0.456, 0.750, 0.912).

Its relative energy among the computed polymorphs is 0 meV per atom. For the formation enthalpy at 0 K, the calculation gives -220 meV per atom. Its theoretical density is 8.58 g/cm3. For the electronic total energy, the calculation gives -4.1551 eV per atom.

No. 2
VASP calculation (PBE) on a relaxed Nd2DyAg crystal.

The space group is Fm-3m (No. 225) and the conventional cell measures 7.770, 7.770 and 7.770 Å, with angles of 90.00, 90.00 and 90.00 degrees. The distinct sites, in fractional coordinates, are Nd at (0.250, 0.250, 0.250), Dy at (0.000, 0.000, 0.000) and Ag at (0.000, 0.000, 0.500).

Its relative energy among the computed polymorphs is 182 meV per atom. For the formation enthalpy at 0 K, the calculation gives 63 meV per atom. Its theoretical density is 7.91 g/cm3. For the electronic total energy, the calculation gives -4.1841 eV per atom.

No. 3
VASP calculation (PBE) on a relaxed Nd2DyAg crystal.

The space group is P4/mmm (No. 123) and the conventional cell measures 3.692, 3.692 and 8.866 Å, with angles of 90.00, 90.00 and 90.00 degrees. The distinct sites, in fractional coordinates, are Nd at (0.000, 0.000, 0.219), Dy at (0.500, 0.500, 0.500) and Ag at (0.500, 0.500, 0.000).

Its relative energy among the computed polymorphs is 22 meV per atom. For the formation enthalpy at 0 K, the calculation gives -97 meV per atom. Its theoretical density is 7.68 g/cm3. For the electronic total energy, the calculation gives -4.3443 eV per atom.

No. 4
VASP calculation (PBE) on a relaxed Nd2Dy3Ag2 crystal.

The space group is R-3m (No. 166, hexagonal axes) and the conventional cell measures 5.4269, 5.4269 and 23.4822 Å, with angles of 90.00, 90.00 and 120.00 degrees. The distinct sites, in fractional coordinates, are Nd at (0.0000, 0.0000, 0.0756), Dy at (0.0000, 0.0000, 0.3382), Dy at (0.0000, 0.0000, 0.5000) and Ag at (0.0000, 0.0000, 0.2125).

For the formation enthalpy at 0 K, the calculation gives -99 meV per atom. Its theoretical density is 8.25 g/cm3. For the electronic total energy, the calculation gives -4.2480 eV per atom.

No. 5
VASP calculation (PBE) on a relaxed NdDy3Ag2 crystal.

The space group is C2/m (No. 12) and the conventional cell measures 15.714, 5.336 and 8.778 Å, with angles of 90.00, 115.81 and 90.00 degrees. The distinct sites, in fractional coordinates, are Nd at (0.137, 0.000, 0.193), Dy at (0.061, 0.000, 0.726), Dy at (0.119, 0.500, 0.528), Dy at (0.191, 0.500, 0.996), Ag at (0.014, 0.500, 0.167) and Ag at (0.228, 0.000, 0.610).

Its relative energy among the computed polymorphs is 73 meV per atom. For the formation enthalpy at 0 K, the calculation gives -125 meV per atom. Its theoretical density is 8.50 g/cm3. For the electronic total energy, the calculation gives -4.1714 eV per atom.

No. 6
VASP calculation (PBE) on a relaxed NdDy5Ag4 crystal.

The space group is P4/mmm (No. 123) and the conventional cell measures 3.612, 3.612 and 19.825 Å, with angles of 90.00, 90.00 and 90.00 degrees. The distinct sites, in fractional coordinates, are Nd at (0.000, 0.000, 0.000), Dy at (0.500, 0.500, 0.129), Dy at (0.500, 0.500, 0.314), Dy at (0.500, 0.500, 0.500), Ag at (0.000, 0.000, 0.221) and Ag at (0.000, 0.000, 0.407).

For the formation enthalpy at 0 K, the calculation gives -251 meV per atom. Its theoretical density is 8.91 g/cm3. For the electronic total energy, the calculation gives -4.1689 eV per atom.

No. 7
VASP calculation (PBE) on a relaxed Nd4DyAg5 crystal.

The space group is P4/mmm (No. 123) and the conventional cell measures 3.696, 3.696 and 19.025 Å, with angles of 90.00, 90.00 and 90.00 degrees. The distinct sites, in fractional coordinates, are Nd at (0.000, 0.000, 0.101), Nd at (0.000, 0.000, 0.304), Dy at (0.000, 0.000, 0.500), Ag at (0.500, 0.500, 0.000), Ag at (0.500, 0.500, 0.202) and Ag at (0.500, 0.500, 0.409).

For the formation enthalpy at 0 K, the calculation gives -270 meV per atom. Its theoretical density is 8.17 g/cm3. For the electronic total energy, the calculation gives -4.0633 eV per atom.

No. 8
VASP calculation (PBE) on a relaxed NdDy6Ag crystal.

The space group is P-1 (No. 2) and the conventional cell measures 6.295, 6.300 and 6.300 Å, with angles of 95.92, 95.84 and 95.78 degrees. The distinct sites, in fractional coordinates, are Nd at (0.000, 0.000, 0.000), Dy at (0.072, 0.547, 0.264), Dy at (0.264, 0.072, 0.547), Dy at (0.453, 0.736, 0.928) and Ag at (0.500, 0.500, 0.500).

For the formation enthalpy at 0 K, the calculation gives 43 meV per atom. Its theoretical density is 8.30 g/cm3. For the electronic total energy, the calculation gives -4.3610 eV per atom.